*w*
Material: Cr3PbCl
Method: DFT, GGA-PBE
State: relaxed

POSCAR file:
```
Cr3PbCl
1.0
-4.037 -2.292 -2.568
2.238 -4.755 0.727
-2.616 -0.531 4.585
Cl Cr Pb
1 3 1
Direct
0.500 0.500 0.500 Cl
0.500 0.000 0.000 Cr
0.000 0.500 0.000 Cr
0.000 0.000 0.500 Cr
0.000 0.000 0.000 Pb
```

SG: Pm-3m (221)

*x*
Material: Cr3PbCl
Method: DFT, GGA-PBE
State: relaxed

POSCAR file:
```
Cr3PbCl
1.0
-0.389 -3.984 -1.448
3.164 0.695 -2.761
2.820 -1.328 2.898
Pb Cr Cl
1 3 1
Direct
0.500 0.500 0.500 Pb
0.000 0.000 0.500 Cr
0.500 0.000 0.000 Cr
0.000 0.500 0.000 Cr
0.000 0.000 0.000 Cl
```

SG: Pm-3m (221)

Quick look at relative energies in eV/atom: *w* 0.277; *x* 0.000.